# Sc6WO12 GGA+U relaxed
# **Crystal system**: trigonal
# **D(E_F)**: 0.00 states/eV/atom
# **E_tot**: -0.3217 Ha/atom
# **ρ**: 4.82 g cm⁻³
data_Sc6WO12
_chemical_formula_sum 'Sc18 W3 O36'
_cell_length_a 9.3481
_cell_length_b 9.3481
_cell_length_c 8.8115
_cell_angle_alpha 90.00
_cell_angle_beta 90.00
_cell_angle_gamma 120.00
_space_group_name_H-M_alt 'R -3'
_space_group_IT_number 148
_space_group_name_Hall '-R 3'
loop_
_atom_site_label
_atom_site_type_symbol
_atom_site_fract_x
_atom_site_fract_y
_atom_site_fract_z
Sc1 Sc 0.0311 0.2480 0.1381
W1 W 0.0000 0.0000 0.5000
O1 O 0.0211 0.1846 0.3787
O2 O 0.0233 0.2161 0.8942